1.
# BaScSi2 (PBE, relaxed)
data_BaScSi2
_chemical_formula_sum 'Ba2 Sc2 Si4'
_cell_length_a 4.384
_cell_length_b 4.384
_cell_length_c 10.103
_cell_angle_alpha 90.00
_cell_angle_beta 90.00
_cell_angle_gamma 90.00
_space_group_name_H-M_alt 'I -4 m 2'
_space_group_IT_number 119
_space_group_name_Hall 'I -4 -2'
loop_
_atom_site_label
_atom_site_type_symbol
_atom_site_fract_x
_atom_site_fract_y
_atom_site_fract_z
_atom_site_occupancy
Ba1 Ba 0.000 0.000 0.000 1
Sc1 Sc 0.000 0.500 0.750 1
Si1 Si 0.000 0.000 0.500 1
Si2 Si 0.000 0.500 0.250 1
# Energy relative to the elements, uncorrected = 15.8 kJ/mol of atoms
# Energy above the most stable polymorph in this dataset = 602 meV per atom
# D(E_F) = 2.69 states/eV/f.u.


2.
# BaInS2 (PBE, relaxed)
data_BaInS2
_chemical_formula_sum 'Ba4 In4 S8'
_cell_length_a 6.428
_cell_length_b 6.428
_cell_length_c 14.184
_cell_angle_alpha 90.00
_cell_angle_beta 90.00
_cell_angle_gamma 90.00
_space_group_name_H-M_alt 'I -4 2 d'
_space_group_IT_number 122
_space_group_name_Hall 'I -4 2bw'
loop_
_atom_site_label
_atom_site_type_symbol
_atom_site_fract_x
_atom_site_fract_y
_atom_site_fract_z
_atom_site_occupancy
Ba1 Ba 0.000 0.000 0.000 1
In1 In 0.000 0.000 0.500 1
S1 S 0.197 0.250 0.625 1
# Energy relative to the elements, uncorrected = -102.0 kJ/mol of atoms
# D(E_F) = 0.22 states/eV/f.u.